The following is a PBE-GGA calculation of crystalline Tb6Sm2Zr at its relaxed geometry, from Alexandria via LeMat-Bulk.

a b c (Å): 3.4312 9.6442 10.2675
angles (deg): 118.01 70.27 90.00
Element x y z (fractional)
1 Tb 0.1750 0.3252 0.3252
2 Sm 0.3329 0.3334 0.6668
3 Sm 0.6671 0.6666 0.3332
4 Tb 0.5000 0.6750 0.0000
5 Tb 0.8250 0.0000 0.6748
6 Tb 0.1750 0.0000 0.3252
7 Tb 0.8250 0.6748 0.6748
8 Zr 0.0000 0.0000 0.0000
9 Tb 0.5000 0.3250 0.0000

VASP energy = -44.8 eV/cell
energy of formation from the pure elements = 2.408 kcal/mol of atoms
SG = C2/m (12)

---

The following is a PBE-GGA calculation of crystalline Tb2SmZr at its relaxed geometry, from Alexandria via LeMat-Bulk.

a b c (Å): 4.0353 4.0353 7.3175
angles (deg): 90.00 90.00 90.00
Element x y z (fractional)
1 Tb 0.0000 0.0000 0.2216
2 Sm 0.5000 0.5000 0.5000
3 Tb 0.0000 0.0000 0.7784
4 Zr 0.5000 0.5000 0.0000

VASP energy = -21.8 eV/cell
energy relative to the lowest polymorph listed for this composition = 0.089 eV per atom
energy of formation from the pure elements = 4.033 kcal/mol of atoms
SG = P4/mmm (123)

---

The following is a PBE-GGA calculation of crystalline Tb12Sm7Zr at its relaxed geometry, from Alexandria via LeMat-Bulk.

a b c (Å): 8.6996 8.6996 8.6996
angles (deg): 91.50 91.50 91.50
Element x y z (fractional)
1 Tb 0.2129 0.7596 0.3584
2 Tb 0.5539 0.8713 0.6212
3 Zr 0.0000 0.0000 0.0000
4 Tb 0.7871 0.2404 0.6416
5 Sm 0.9505 0.0477 0.3351
6 Sm 0.0477 0.3351 0.9505
7 Tb 0.8713 0.6212 0.5539
8 Tb 0.6416 0.7871 0.2404
9 Sm 0.9523 0.6649 0.0495
10 Sm 0.6649 0.0495 0.9523
11 Sm 0.5000 0.5000 0.5000
12 Tb 0.1287 0.3788 0.4461
13 Sm 0.3351 0.9505 0.0477
14 Tb 0.7596 0.3584 0.2129
15 Tb 0.3788 0.4461 0.1287
16 Tb 0.6212 0.5539 0.8713
17 Sm 0.0495 0.9523 0.6649
18 Tb 0.4461 0.1287 0.3788
19 Tb 0.2404 0.6416 0.7871
20 Tb 0.3584 0.2129 0.7596

VASP energy = -92.0 eV/cell
energy of formation from the pure elements = 5.882 kcal/mol of atoms
SG = R-3 (148)

---

The following is a PBE-GGA calculation of crystalline Tb6Sm12Zr at its relaxed geometry, from Alexandria via LeMat-Bulk.

a b c (Å): 9.4733 9.4733 9.4733
angles (deg): 110.92 110.92 110.92
Element x y z (fractional)
1 Zr 0.0000 0.0000 0.0000
2 Sm 0.6276 0.9440 0.4171
3 Sm 0.4171 0.6276 0.9440
4 Sm 0.1541 0.7417 0.1029
5 Sm 0.5829 0.3724 0.0560
6 Sm 0.9440 0.4171 0.6276
7 Tb 0.7917 0.6893 0.5356
8 Tb 0.3107 0.4644 0.2083
9 Sm 0.3724 0.0560 0.5829
10 Sm 0.7417 0.1029 0.1541
11 Sm 0.2583 0.8971 0.8459
12 Tb 0.5356 0.7917 0.6893
13 Tb 0.6893 0.5356 0.7917
14 Sm 0.1029 0.1541 0.7417
15 Sm 0.0560 0.5829 0.3724
16 Tb 0.4644 0.2083 0.3107
17 Tb 0.2083 0.3107 0.4644
18 Sm 0.8971 0.8459 0.2583
19 Sm 0.8459 0.2583 0.8971

VASP energy = -92.3 eV/cell
energy of formation from the pure elements = 0.786 kcal/mol of atoms
SG = R-3 (148)

---

The following is a PBE-GGA calculation of crystalline TbSm2Zr at its relaxed geometry, from Alexandria via LeMat-Bulk.

a b c (Å): 4.9041 4.9330 4.9330
angles (deg): 90.00 90.00 90.00
Element x y z (fractional)
1 Zr 0.5000 0.0000 0.0000
2 Sm 0.0000 0.0000 0.5000
3 Tb 0.5000 0.5000 0.5000
4 Sm 0.0000 0.5000 0.0000

VASP energy = -22.2 eV/cell
energy relative to the lowest polymorph listed for this composition = 0.009 eV per atom
energy of formation from the pure elements = 2.681 kcal/mol of atoms
SG = P4/mmm (123)

---

The following is a PBE-GGA calculation of crystalline TbSmZr2 at its relaxed geometry, from Alexandria via LeMat-Bulk.

a b c (Å): 4.8855 4.7120 4.7120
angles (deg): 90.00 90.00 90.00
Element x y z (fractional)
1 Tb 0.5000 0.5000 0.5000
2 Zr 0.0000 0.0000 0.5000
3 Zr 0.0000 0.5000 0.0000
4 Sm 0.5000 0.0000 0.0000

VASP energy = -25.8 eV/cell
energy relative to the lowest polymorph listed for this composition = 0.000 eV per atom
energy of formation from the pure elements = 3.607 kcal/mol of atoms
SG = P4/mmm (123)

---

The following is a PBE-GGA calculation of crystalline TbSmZr2 at its relaxed geometry, from Alexandria via LeMat-Bulk.

a b c (Å): 3.3635 3.3635 11.1913
angles (deg): 81.36 81.36 60.00
Element x y z (fractional)
1 Sm 0.0000 0.0000 0.0000
2 Tb 0.5000 0.5000 0.5000
3 Zr 0.7505 0.7505 0.7486
4 Zr 0.2495 0.2495 0.2514

VASP energy = -25.8 eV/cell
energy relative to the lowest polymorph listed for this composition = 0.000 eV per atom
energy of formation from the pure elements = 3.613 kcal/mol of atoms
SG = R-3m (166)

---

The following is a PBE-GGA calculation of crystalline TbSm2Zr at its relaxed geometry, from Alexandria via LeMat-Bulk.

a b c (Å): 4.0596 4.0596 7.2996
angles (deg): 90.00 90.00 90.00
Element x y z (fractional)
1 Zr 0.5000 0.5000 0.0000
2 Tb 0.5000 0.5000 0.5000
3 Sm 0.0000 0.0000 0.7756
4 Sm 0.0000 0.0000 0.2244

VASP energy = -21.9 eV/cell
energy relative to the lowest polymorph listed for this composition = 0.067 eV per atom
energy of formation from the pure elements = 4.023 kcal/mol of atoms
SG = P4/mmm (123)

---

The following is a PBE-GGA calculation of crystalline Tb5Sm8Zr at its relaxed geometry, from Alexandria via LeMat-Bulk.

a b c (Å): 8.7079 9.0887 8.7081
angles (deg): 122.69 123.43 83.69
Element x y z (fractional)
1 Tb 0.2764 0.9700 0.0321
2 Tb 0.5026 0.0000 0.5026
3 Tb 0.0621 0.0300 0.3065
4 Sm 0.4148 0.3165 0.9749
5 Sm 0.4392 0.4280 0.4986
6 Sm 0.7695 0.2800 0.4006
7 Sm 0.0706 0.5720 0.0112
8 Sm 0.5805 0.9332 0.8825
9 Zr 0.1862 0.5000 0.6862
10 Tb 0.9101 0.2807 0.0903
11 Tb 0.8097 0.7193 0.6295
12 Sm 0.1205 0.7199 0.4895
13 Sm 0.9493 0.0668 0.6474
14 Sm 0.6584 0.6835 0.0983

VASP energy = -66.7 eV/cell
energy of formation from the pure elements = 4.608 kcal/mol of atoms
SG = C2 (5)

---

The following is a PBE-GGA calculation of crystalline TbSm2Zr at its relaxed geometry, from Alexandria via LeMat-Bulk.

a b c (Å): 3.3999 3.3999 12.2531
angles (deg): 82.03 82.03 60.00
Element x y z (fractional)
1 Zr 0.0000 0.0000 0.0000
2 Sm 0.9143 0.9143 0.2572
3 Sm 0.0857 0.0857 0.7428
4 Tb 0.5000 0.5000 0.5000

VASP energy = -21.4 eV/cell
energy relative to the lowest polymorph listed for this composition = 0.200 eV per atom
energy of formation from the pure elements = 7.082 kcal/mol of atoms
SG = R-3m (166)

---

The following is a PBE-GGA calculation of crystalline Tb2SmZr at its relaxed geometry, from Alexandria via LeMat-Bulk.

a b c (Å): 5.5298 5.5298 5.5298
angles (deg): 60.00 60.00 60.00
Each line ends with the local moment (μB).
Element x y z (fractional)
1 Tb 0.2500 0.2500 0.2500  0.25
2 Zr 0.5000 0.5000 0.5000  0.75
3 Sm 0.0000 0.0000 0.0000  0.03
4 Tb 0.7500 0.7500 0.7500  0.25

VASP energy = -21.6 eV/cell
energy relative to the lowest polymorph listed for this composition = 0.146 eV per atom
energy of formation from the pure elements = 5.362 kcal/mol of atoms
SG = Fm-3m (225)

---

The following is a PBE-GGA calculation of crystalline Tb8Sm2Zr at its relaxed geometry, from Alexandria via LeMat-Bulk.

a b c (Å): 4.9881 7.9166 9.3419
angles (deg): 104.67 105.48 90.00
Element x y z (fractional)
1 Sm 0.2260 0.6349 0.4519
2 Tb 0.8688 0.8272 0.7376
3 Tb 0.9563 0.2636 0.9125
4 Tb 0.0437 0.7364 0.0875
5 Tb 0.4115 0.5572 0.8229
6 Tb 0.6783 0.9094 0.3566
7 Tb 0.5885 0.4428 0.1771
8 Sm 0.7740 0.3651 0.5481
9 Tb 0.1312 0.1728 0.2624
10 Tb 0.3217 0.0906 0.6434
11 Zr 0.5000 0.0000 0.0000

VASP energy = -54.6 eV/cell
energy relative to the lowest polymorph listed for this composition = 0.000 eV per atom
energy of formation from the pure elements = 0.999 kcal/mol of atoms
SG = C2/m (12)

---

> Look up the energy of formation from the pure elements of the seventh one.

3.613 kcal/mol of atoms